No. 1
Material: Sr2BeRh
Method: DFT, PBE
State: relaxed

Summary:
* final energy: -14.43 eV per cell

Structure (POSCAR):
```
Sr2BeRh
1.0
3.361 0.000 0.000
0.000 3.372 0.000
0.000 0.000 8.798
Sr Rh Be
2 1 1
direct
0.000 0.000 0.920
0.500 0.500 0.331
0.500 0.500 0.655
0.000 0.000 0.593
```

No. 2
Material: Sr3BeRh
Method: DFT, PBE
State: relaxed

Summary:
* final energy: -14.55 eV per cell
* offset from the most stable computed form: 0.000 eV per formula unit

Structure (POSCAR):
```
Sr3BeRh
1.0
5.738 0.000 0.000
0.000 5.738 0.000
0.000 0.000 5.738
Sr Rh Be
3 1 1
direct
0.000 0.500 0.000
0.000 0.000 0.500
0.500 0.000 0.000
0.000 0.000 0.000
0.500 0.500 0.500
```